Ac2Pr5Sc (PBE, optimized geometry); total moment = 0.0 μB/f.u.; energy = -0.3496 Ry/atom; E_form = 0.05 eV/atom
1.0
5.202 0.000 -1.009
-0.196 5.198 -1.009
-0.551 -0.572 11.076
Pr Ac Sc
5 2 1
direct
0.883 0.383 0.766
0.117 0.617 0.234
0.617 0.117 0.234
0.383 0.883 0.766
0.500 0.500 0.000
0.750 0.750 0.499
0.250 0.250 0.501
0.000 0.000 0.000


Tb3Ho4Er3 (PBE, optimized geometry); total moment = 0.0 μB/f.u.; energy = -0.3302 Ry/atom; E_form = 0.10 eV/atom
1.0
3.660 0.000 0.000
0.000 9.255 -0.046
0.000 0.036 9.255
Tb Ho Er
3 4 3
direct
0.500 0.672 0.673
0.500 0.828 0.172
0.500 0.327 0.328
0.000 0.627 0.373
0.000 0.875 0.873
0.000 0.373 0.627
0.000 0.127 0.125
0.000 0.498 0.999
0.000 0.001 0.502
0.500 0.172 0.828


ZnPPb2 (PBE, optimized geometry); total moment = 0.0 μB/f.u.; offset from the most stable computed form = 20.1 kJ/mol of atoms; energy = -0.2376 Ry/atom; E_form = 0.29 eV/atom
1.0
-2.447 -4.852 2.758
-5.465 0.422 2.662
2.623 1.404 -5.318
Zn Pb P
1 2 1
direct
0.500 0.500 0.000
0.000 0.000 0.000
0.250 0.750 0.500
0.750 0.250 0.500


Be2FeRh (PBE, optimized geometry); total moment = 2.6 μB/f.u.; energy = -0.4466 Ry/atom; E_form = -0.26 eV/atom
1.0
4.598 0.013 0.073
3.769 2.633 0.073
1.520 0.481 3.484
Be Rh Fe
2 1 1
direct
0.260 0.260 0.242
0.988 0.988 0.010
0.740 0.740 0.762
0.512 0.512 0.487


Ce3P3Rh2 (PBE, optimized geometry); total moment = 0.9 μB/f.u.; energy = -0.5352 Ry/atom; E_form = -1.19 eV/atom
1.0
-2.669 2.433 1.977
-2.435 -4.951 -1.481
3.979 -5.642 12.316
Rh P Ce
4 6 6
direct
0.780 0.560 0.899
0.220 0.440 0.101
0.780 0.560 0.601
0.220 0.440 0.399
0.349 0.697 0.250
0.651 0.303 0.750
0.373 0.746 0.547
0.373 0.746 0.953
0.627 0.254 0.453
0.627 0.254 0.047
0.639 0.278 0.250
0.361 0.722 0.750
0.077 0.153 0.606
0.077 0.153 0.894
0.923 0.847 0.106
0.923 0.847 0.394


Pd3IF (PBE, optimized geometry); total moment = 0.0 μB/f.u.; offset from the most stable computed form = 0.0 kJ/mol of atoms; energy = -0.2624 Ry/atom; ΔE_f (raw) = 229 meV per atom
1.0
4.518 0.000 0.000
0.000 4.518 0.000
0.000 0.000 4.518
Pd I F
3 1 1
direct
0.000 0.000 0.500
0.000 0.500 0.000
0.500 0.000 0.000
0.500 0.500 0.500
0.000 0.000 0.000


ZrTaBr (PBE, optimized geometry); total moment = 0.0 μB/f.u.; offset from the most stable computed form = 77.0 kJ/mol of atoms; energy = -0.4757 Ry/atom; ΔE_f (raw) = 885 meV per atom
1.0
-4.197 1.655 0.107
-3.329 -2.410 1.863
-1.811 1.307 3.922
Br Ta Zr
1 1 1
direct
0.750 0.750 0.750
0.000 0.000 0.000
0.500 0.500 0.500


Ba3SiAs4 (PBE, optimized geometry); total moment = 0.0 μB/f.u.; offset from the most stable computed form = 0.0 kJ/mol of atoms; energy = -0.3378 Ry/atom; ΔE_f (raw) = -873 meV per atom
1.0
8.731 0.000 0.000
0.000 10.207 0.000
0.000 0.000 11.076
As Si Ba
16 4 12
direct
0.447 0.917 0.750
0.134 0.970 0.949
0.286 0.276 0.750
0.714 0.724 0.250
0.214 0.776 0.250
0.947 0.583 0.750
0.786 0.224 0.750
0.134 0.970 0.551
0.866 0.030 0.449
0.634 0.530 0.551
0.634 0.530 0.949
0.053 0.417 0.250
0.366 0.470 0.449
0.553 0.083 0.250
0.866 0.030 0.051
0.366 0.470 0.051
0.228 0.054 0.750
0.728 0.446 0.750
0.272 0.554 0.250
0.772 0.946 0.250
0.530 0.189 0.952
0.030 0.311 0.548
0.530 0.189 0.548
0.970 0.689 0.452
0.337 0.586 0.750
0.470 0.811 0.048
0.970 0.689 0.048
0.030 0.311 0.952
0.470 0.811 0.452
0.163 0.086 0.250
0.663 0.414 0.250
0.837 0.914 0.750


CrCdCu (PBE, optimized geometry); total moment = 1.0 μB/f.u.; offset from the most stable computed form = 10.8 kJ/mol of atoms; energy = -0.3258 Ry/atom; E_form = 0.45 eV/atom
1.0
6.209 -0.028 0.029
5.614 2.651 0.050
0.594 0.110 2.677
Cr Cd Cu
1 1 1
direct
0.319 0.319 0.681
0.002 0.002 0.998
0.679 0.679 0.321


Ga2AgPt (PBE, optimized geometry); total moment = 0.0 μB/f.u.; offset from the most stable computed form = 0.9 kJ/mol of atoms; energy = -0.2975 Ry/atom; E_form = -0.31 eV/atom
1.0
-0.117 -1.496 -3.915
-1.920 -3.644 -0.786
-4.775 0.597 -2.343
Ga Ag Pt
2 1 1
direct
0.680 0.733 0.313
0.478 0.530 0.923
0.257 0.310 0.575
0.067 0.119 0.156


Sm2BC3 (PBE, optimized geometry); total moment = 0.0 μB/f.u.; energy = -0.5440 Ry/atom; E_form = -0.10 eV/atom
1.0
5.254 -0.168 0.000
-0.372 5.243 0.000
-2.441 -2.537 5.609
B C Sm
2 6 4
direct
0.344 0.344 0.689
0.656 0.656 0.311
0.397 0.731 0.128
0.269 0.603 0.872
0.731 0.397 0.128
0.208 0.208 0.416
0.603 0.269 0.872
0.792 0.792 0.584
0.750 0.250 0.500
0.793 0.793 0.000
0.250 0.750 0.500
0.207 0.207 0.000


SnAs2CSe (PBE, optimized geometry); total moment = 0.0 μB/f.u.; offset from the most stable computed form = 0.0 kJ/mol of atoms; energy = -0.3154 Ry/atom; ΔE_f (raw) = 911 meV per atom
1.0
-1.091 1.020 4.222
-3.855 -2.234 -0.457
2.065 -3.863 1.466
C As Se Sn
1 2 1 1
direct
0.000 0.000 0.000
0.000 0.500 0.000
0.500 0.000 0.000
0.000 0.000 0.500
0.500 0.500 0.500